# NpVRu | Alexandria via LeMat-Bulk | PBE | relaxed
# Electronic total energy: -62.34 eV for the cell shown
data_NpVRu
_chemical_formula_sum 'Np2 V2 Ru2'
_space_group_name_H-M_alt 'I 4 m m'
_space_group_IT_number 107
_space_group_name_Hall 'I 4 -2'
_cell_length_a 2.934
_cell_length_b 2.934
_cell_length_c 11.524
_cell_angle_alpha 90.00
_cell_angle_beta 90.00
_cell_angle_gamma 90.00
loop_
_atom_site_label
_atom_site_type_symbol
_atom_site_fract_x
_atom_site_fract_y
_atom_site_fract_z
Np1 Np 0.000 0.000 0.000
V1 V 0.000 0.000 0.685
Ru1 Ru 0.000 0.000 0.309

***

# LaTm4Co4 | Alexandria via LeMat-Bulk | PBE | relaxed
# Electronic total energy: -104.22 eV for the cell shown
data_LaTm4Co4
_chemical_formula_sum 'La2 Tm8 Co8'
_space_group_name_H-M_alt 'P 42/n'
_space_group_IT_number 86
_cell_length_a 8.407
_cell_length_b 8.407
_cell_length_c 5.489
_cell_angle_alpha 90.00
_cell_angle_beta 90.00
_cell_angle_gamma 90.00
loop_
_space_group_symop_operation_xyz
'x,y,z'
'-x,-y,-z'
'-y,x+1/2,z+1/2'
'y,-x+1/2,-z+1/2'
'-x+1/2,-y+1/2,z'
'x+1/2,y+1/2,-z'
'y+1/2,-x,z+1/2'
'-y+1/2,x,-z+1/2'
loop_
_atom_site_label
_atom_site_type_symbol
_atom_site_fract_x
_atom_site_fract_y
_atom_site_fract_z
La1 La 0.250 0.250 0.250
Tm1 Tm 0.069 0.671 0.137
Co1 Co 0.015 0.611 0.624

***

# Er2AlSiGe | Alexandria via LeMat-Bulk | PBE | relaxed
# E_form (uncorrected): -0.594 eV/atom
data_Er2AlSiGe
_chemical_formula_sum 'Er4 Al2 Si2 Ge2'
_space_group_name_H-M_alt 'P 1 21/m 1'
_space_group_IT_number 11
_space_group_name_Hall '-P 2yb'
_cell_length_a 7.171
_cell_length_b 4.032
_cell_length_c 7.657
_cell_angle_alpha 90.00
_cell_angle_beta 111.34
_cell_angle_gamma 90.00
loop_
_atom_site_label
_atom_site_type_symbol
_atom_site_fract_x
_atom_site_fract_y
_atom_site_fract_z
Er1 Er 0.052 0.250 0.195
Er2 Er 0.369 0.750 0.595
Al1 Al 0.348 0.250 0.955
Si1 Si 0.339 0.750 0.181
Ge1 Ge 0.091 0.250 0.613

***

# CaTaRh4 | Alexandria via LeMat-Bulk | PBE | relaxed
# Electronic total energy: -178.33 eV for the cell shown
data_CaTaRh4
_chemical_formula_sum 'Ca4 Ta4 Rh16'
_space_group_name_H-M_alt 'F -4 3 m'
_space_group_IT_number 216
_space_group_name_Hall 'F -4 2 3'
_cell_length_a 7.372
_cell_length_b 7.372
_cell_length_c 7.372
_cell_angle_alpha 90.00
_cell_angle_beta 90.00
_cell_angle_gamma 90.00
loop_
_atom_site_label
_atom_site_type_symbol
_atom_site_fract_x
_atom_site_fract_y
_atom_site_fract_z
Ca1 Ca 0.000 0.000 0.000
Ta1 Ta 0.250 0.250 0.250
Rh1 Rh 0.125 0.125 0.625

***

# MgAs2OsF | Alexandria via LeMat-Bulk | PBE | relaxed
# E_form (uncorrected): -0.062 eV/atom
data_MgAs2OsF
_chemical_formula_sum 'Mg1 As2 Os1 F1'
_space_group_name_H-M_alt 'P 4/m m m'
_space_group_IT_number 123
_space_group_name_Hall '-P 4 2'
_cell_length_a 4.852
_cell_length_b 4.852
_cell_length_c 4.166
_cell_angle_alpha 90.00
_cell_angle_beta 90.00
_cell_angle_gamma 90.00
loop_
_atom_site_label
_atom_site_type_symbol
_atom_site_fract_x
_atom_site_fract_y
_atom_site_fract_z
Mg1 Mg 0.000 0.000 0.000
As1 As 0.000 0.500 0.500
Os1 Os 0.500 0.500 0.500
F1 F 0.500 0.500 0.000

***

# AgPRu2 | Alexandria via LeMat-Bulk | PBE | relaxed
# Electronic total energy: -104.64 eV for the cell shown
data_AgPRu2
_chemical_formula_sum 'Ag4 P4 Ru8'
_space_group_name_H-M_alt 'I -4 2 d'
_space_group_IT_number 122
_space_group_name_Hall 'I -4 2bw'
_cell_length_a 6.969
_cell_length_b 6.969
_cell_length_c 5.154
_cell_angle_alpha 90.00
_cell_angle_beta 90.00
_cell_angle_gamma 90.00
loop_
_atom_site_label
_atom_site_type_symbol
_atom_site_fract_x
_atom_site_fract_y
_atom_site_fract_z
Ag1 Ag 0.000 0.000 0.000
P1 P 0.000 0.000 0.500
Ru1 Ru 0.179 0.250 0.625

***

# AsPtRh2 | Alexandria via LeMat-Bulk | PBE | relaxed
# Electronic total energy: -25.32 eV for the cell shown
data_AsPtRh2
_chemical_formula_sum 'As1 Pt1 Rh2'
_space_group_name_H-M_alt 'P 4 m m'
_space_group_IT_number 99
_space_group_name_Hall 'P 4 -2'
_cell_length_a 2.925
_cell_length_b 2.925
_cell_length_c 7.091
_cell_angle_alpha 90.00
_cell_angle_beta 90.00
_cell_angle_gamma 90.00
loop_
_atom_site_label
_atom_site_type_symbol
_atom_site_fract_x
_atom_site_fract_y
_atom_site_fract_z
As1 As 0.000 0.000 0.000
Pt1 Pt 0.500 0.500 0.255
Rh1 Rh 0.000 0.000 0.519
Rh2 Rh 0.500 0.500 0.777

***

# Er2Si2PtRh5 | Alexandria via LeMat-Bulk | PBE | relaxed
# E_form (uncorrected): -0.869 eV/atom
data_Er2Si2PtRh5
_chemical_formula_sum 'Er4 Si4 Pt2 Rh10'
_space_group_name_H-M_alt 'P 4/m b m'
_space_group_IT_number 127
_space_group_name_Hall '-P 4 2ab'
_cell_length_a 9.604
_cell_length_b 9.604
_cell_length_c 3.528
_cell_angle_alpha 90.00
_cell_angle_beta 90.00
_cell_angle_gamma 90.00
loop_
_atom_site_label
_atom_site_type_symbol
_atom_site_fract_x
_atom_site_fract_y
_atom_site_fract_z
Er1 Er 0.176 0.324 0.000
Si1 Si 0.124 0.624 0.000
Pt1 Pt 0.000 0.000 0.000
Rh1 Rh 0.000 0.500 0.500
Rh2 Rh 0.069 0.786 0.500

***

# Pu4AgPtRh2 | Alexandria via LeMat-Bulk | PBE | relaxed
# Electronic total energy: -251.33 eV for the cell shown
data_Pu4AgPtRh2
_chemical_formula_sum 'Pu12 Ag3 Pt3 Rh6'
_space_group_name_H-M_alt 'R -3 m'
_space_group_IT_number 166
_space_group_name_Hall '-R 3 2"'
_cell_length_a 4.9723
_cell_length_b 4.9723
_cell_length_c 24.1100
_cell_angle_alpha 90.00
_cell_angle_beta 90.00
_cell_angle_gamma 120.00
loop_
_atom_site_label
_atom_site_type_symbol
_atom_site_fract_x
_atom_site_fract_y
_atom_site_fract_z
Pu1 Pu 0.0000 0.0000 0.1201
Pu2 Pu 0.0000 0.0000 0.3697
Ag1 Ag 0.0000 0.0000 0.5000
Pt1 Pt 0.0000 0.0000 0.0000
Rh1 Rh 0.0000 0.0000 0.2437

***

# K3Ge2Sb4 | Alexandria via LeMat-Bulk | PBE | relaxed
# E_form (uncorrected): -0.183 eV/atom
data_K3Ge2Sb4
_chemical_formula_sum 'K12 Ge8 Sb16'
_space_group_name_H-M_alt 'C 1 2/c 1'
_space_group_IT_number 15
_space_group_name_Hall '-C 2yc'
_cell_length_a 15.802
_cell_length_b 11.766
_cell_length_c 7.188
_cell_angle_alpha 90.00
_cell_angle_beta 92.08
_cell_angle_gamma 90.00
loop_
_atom_site_label
_atom_site_type_symbol
_atom_site_fract_x
_atom_site_fract_y
_atom_site_fract_z
K1 K 0.000 0.099 0.250
K2 K 0.115 0.375 0.007
Ge1 Ge 0.215 0.112 0.552
Sb1 Sb 0.128 0.309 0.511
Sb2 Sb 0.165 0.088 0.906